w | Computed, not measured: Ca2H4Ir after structural relaxation at the GGA-PBE level of DFT.

The value obtained for the calculated volume is 187.8 Å³ per cell. The calculation puts the total magnetization at 0.00 μB per atom.

```
data_Ca2H4Ir
_symmetry_space_group_name_H-M 'I 4/m m m'
_symmetry_Int_Tables_number 139
_symmetry_space_group_name_Hall '-I 4 2'
_cell_length_a 3.619
_cell_length_b 3.619
_cell_length_c 14.337
_cell_angle_alpha 90.00
_cell_angle_beta 90.00
_cell_angle_gamma 90.00
loop_
_atom_site_label
_atom_site_fract_x
_atom_site_fract_y
_atom_site_fract_z
Ca1 0.000 0.000 0.132
H1 0.000 0.000 0.380
H2 0.000 0.500 0.000
Ir1 0.000 0.000 0.500
```

---

x | Computed, not measured: Ca2H4Ir after structural relaxation at the GGA-PBE level of DFT.

The value obtained for the calculated volume is 194.6 Å³ per cell. The calculation puts the total magnetization at 0.00 μB per atom.

```
data_Ca2H4Ir
_symmetry_space_group_name_H-M 'P m m n'
_symmetry_Int_Tables_number 59
_cell_length_a 5.385
_cell_length_b 7.380
_cell_length_c 4.898
_cell_angle_alpha 90.00
_cell_angle_beta 90.00
_cell_angle_gamma 90.00
loop_
_symmetry_equiv_pos_as_xyz
'x,y,z'
'-x,-y,-z'
'-x+1/2,-y+1/2,z'
'x+1/2,y+1/2,-z'
'x+1/2,-y,-z'
'-x+1/2,y,z'
'-x,y+1/2,-z'
'x,-y+1/2,z'
loop_
_atom_site_label
_atom_site_fract_x
_atom_site_fract_y
_atom_site_fract_z
Ca1 0.250 0.007 0.237
H1 0.049 0.750 0.367
H2 0.250 0.020 0.739
Ir1 0.250 0.250 0.727
```

---

Which is more stable than every other structure shown? x is more stable than every other one.